[1]
DFT (PBE with a Hubbard U) results for crystalline VPSeO2 at its relaxed geometry.

Values from the calculation:
crystal system = tetragonal
excess energy over the best structure of this formula in the dataset = 72.56 kJ/mol of atoms
space-group type = P4/mmm
total magnetic moment = 2.19 μB per cell

Lattice parameters (Å, degrees): 3.8006 3.8006 4.9843 90.00 90.00 90.00
Closest atoms and distances in Å follow each position.
Positions (direct):
V: 0.0000 0.0000 0.0000  4 P 2.69
P: 0.5000 0.5000 0.0000  2 Se 2.49, 4 V 2.69
Se: 0.5000 0.5000 0.5000  4 O 1.90
O: 0.0000 0.5000 0.5000  2 Se 1.90
O: 0.5000 0.0000 0.5000  2 Se 1.90

---

[2]
DFT (PBE with a Hubbard U) results for crystalline VPSeO2 at its relaxed geometry.

Values from the calculation:
crystal system = tetragonal
excess energy over the best structure of this formula in the dataset = 0.00 kJ/mol of atoms
space-group type = P4/mmm
total magnetic moment = 0.38 μB per cell

Lattice parameters (Å, degrees): 3.6530 3.6530 5.5653 90.00 90.00 90.00
Closest atoms and distances in Å follow each position.
Positions (direct):
V: 0.0000 0.0000 0.0000  4 O 1.83
P: 0.0000 0.0000 0.5000  4 Se 2.58, 2 V 2.78
Se: 0.5000 0.5000 0.5000  4 P 2.58
O: 0.0000 0.5000 0.0000  2 V 1.83
O: 0.5000 0.0000 0.0000  2 V 1.83

---

[3]
DFT (PBE with a Hubbard U) results for crystalline V2PSeO at its relaxed geometry.

Values from the calculation:
crystal system = tetragonal
space-group type = P4/mmm
total magnetic moment = 5.60 μB per cell
energy = -5.27 eV per atom

Lattice parameters (Å, degrees): 5.0165 5.0165 3.7133 90.00 90.00 90.00
Closest atoms and distances in Å follow each position.
Positions (direct):
V: 0.0000 0.5000 0.0000  2 Se 2.51
V: 0.5000 0.0000 0.0000  2 Se 2.51
P: 0.0000 0.0000 0.5000  8 V 3.12
Se: 0.5000 0.5000 0.0000  2 O 1.86
O: 0.5000 0.5000 0.5000  2 Se 1.86

---

[4]
DFT (PBE with a Hubbard U) results for crystalline PWSeO2 at its relaxed geometry.

Values from the calculation:
crystal system = tetragonal
excess energy over the best structure of this formula in the dataset = 99.31 kJ/mol of atoms
space-group type = P4/mmm
total magnetic moment = 3.03 μB per cell

Lattice parameters (Å, degrees): 3.8624 3.8624 4.9686 90.00 90.00 90.00
Closest atoms and distances in Å follow each position.
Positions (direct):
P: 0.0000 0.0000 0.0000  2 Se 2.48, 4 W 2.73
W: 0.5000 0.5000 0.0000  4 P 2.73
Se: 0.0000 0.0000 0.5000  4 O 1.93
O: 0.0000 0.5000 0.5000  2 Se 1.93
O: 0.5000 0.0000 0.5000  2 Se 1.93

---

[5]
DFT (PBE with a Hubbard U) results for crystalline PWSeO2 at its relaxed geometry.

Values from the calculation:
crystal system = tetragonal
excess energy over the best structure of this formula in the dataset = 0.00 kJ/mol of atoms
space-group type = P4/mmm
total magnetic moment = 0.83 μB per cell

Lattice parameters (Å, degrees): 3.8213 3.8213 5.5115 90.00 90.00 90.00
Closest atoms and distances in Å follow each position.
Positions (direct):
P: 0.0000 0.0000 0.0000  4 Se 2.70, 2 W 2.76
W: 0.0000 0.0000 0.5000  4 O 1.91
Se: 0.5000 0.5000 0.0000  4 P 2.70
O: 0.0000 0.5000 0.5000  2 W 1.91
O: 0.5000 0.0000 0.5000  2 W 1.91